# 1
VASP calculation (PBE) on a geometry-optimized KMo2Br structure.

Cell and atoms, written as extended XYZ:
```
8
Lattice="-0.920 0.965 4.079 3.814 -1.541 1.225 6.083 10.069 1.247" Properties=species:S:1:pos:R:3 pbc="T T T"
Mo 4.318 7.873 2.497
Mo 1.102 3.264 4.436
K 5.672 4.120 2.562
Br 3.305 5.373 3.989
Br 0.000 0.000 0.000
K 1.447 -0.288 2.652
Mo 4.609 8.052 4.778
Mo 3.190 2.304 4.245
```

Calculated values
Space group = No. 122
Uncorrected formation energy = 1095 meV/atom
Density of states at the Fermi level = 9.10 states/eV/cell
Energy above the lowest structure with this stoichiometry = 3.38 eV/f.u.

# 2
VASP calculation (PBE) on a geometry-optimized Na10B11C9 structure.

Cell and atoms, written as extended XYZ:
```
30
Lattice="6.110 0.003 -4.381 4.130 4.503 -4.381 0.668 0.294 10.153" Properties=species:S:1:pos:R:3 pbc="T T T"
C 6.643 2.026 -2.718
Na 10.563 4.646 -3.692
Na 6.477 2.847 -0.193
Na 6.809 2.996 4.892
Na 8.527 3.758 -1.928
B 5.950 0.828 -1.842
Na 8.204 3.607 -7.003
Na 2.385 1.050 3.328
C 8.351 4.572 0.616
C 4.632 3.826 -1.838
B 8.026 4.427 -4.472
C 2.184 1.876 5.887
B 2.879 0.377 5.861
C 6.336 3.703 2.333
C 2.544 0.223 0.785
B 4.959 1.199 4.110
Na 4.762 2.096 6.646
C 4.594 1.124 -0.967
C 8.685 2.924 -4.476
B 8.962 3.063 0.654
B 4.265 2.778 4.110
Na 4.431 1.950 1.574
B 1.883 1.724 0.785
Na 2.051 0.900 -1.740
Na 6.772 0.300 5.766
B 6.971 2.177 2.359
C 6.291 0.980 3.222
B 5.983 3.528 -2.718
B 5.011 4.010 3.185
B 3.933 2.626 -0.967
```

Calculated values
Space group = No. 5
Density of states at the Fermi level = 4.02 states/eV/cell
DFT formation energy = 1.1 eV/f.u.
Energy above the lowest structure with this stoichiometry = 0.39 eV/f.u.

# 3
VASP calculation (PBE) on a geometry-optimized CaTaSi2 structure.

Cell and atoms, written as extended XYZ:
```
4
Lattice="4.893 0.003 -0.056 1.110 4.765 0.056 -2.957 -2.440 3.041" Properties=species:S:1:pos:R:3 pbc="T T T"
Ta 2.469 -0.027 1.492
Ca 0.577 2.355 1.548
Si 6.002 4.767 0.000
Si 3.003 2.385 0.000
```

Calculated values
Space group = No. 71
Uncorrected formation energy = 92 meV/atom
Density of states at the Fermi level = 2.82 states/eV/cell
Energy above the lowest structure with this stoichiometry = 1.37 eV/f.u.

# 4
VASP calculation (PBE) on a geometry-optimized TaRh2Cl structure.

Cell and atoms, written as extended XYZ:
```
4
Lattice="-3.747 2.350 1.913 -0.670 -4.747 0.489 1.355 0.073 2.565" Properties=species:S:1:pos:R:3 pbc="T T T"
Rh 0.000 0.000 0.000
Cl 0.343 -2.337 1.527
Rh -2.208 -1.199 1.201
Ta -1.196 1.211 2.239
```

Calculated values
Space group = No. 65
Uncorrected formation energy = 320 meV/atom
Density of states at the Fermi level = 4.17 states/eV/cell
Energy above the lowest structure with this stoichiometry = 2.66 eV/f.u.

# 5
VASP calculation (PBE) on a geometry-optimized Li2Ag8Pb structure.

Cell and atoms, written as extended XYZ:
```
11
Lattice="0.033 -2.560 -3.655 1.122 -5.760 4.044 -6.977 3.297 0.351" Properties=species:S:1:pos:R:3 pbc="T T T"
Ag -6.600 -1.027 -2.065
Ag -4.628 0.583 -0.450
Ag -2.025 -0.273 0.173
Ag -3.797 -4.749 0.568
Ag -1.652 -3.253 -0.460
Ag 0.778 -3.995 2.806
Li -2.000 -3.225 2.241
Li -3.822 -1.797 -1.500
Pb 0.017 -1.280 -1.827
Ag -4.170 -1.769 1.201
Ag -1.194 -5.605 1.191
```

Calculated values
Space group = No. 71
Density of states at the Fermi level = 4.29 states/eV/cell
DFT formation energy = 0.0 eV/f.u.
Energy above the lowest structure with this stoichiometry = 0.47 eV/f.u.

# 6
VASP calculation (PBE) on a geometry-optimized LaPr7Tm4 structure.

Cell and atoms, written as extended XYZ:
```
12
Lattice="6.052 0.000 0.000 3.026 9.105 1.734 3.026 1.739 7.925" Properties=species:S:1:pos:R:3 pbc="T T T"
Pr 3.026 0.000 0.000
Tm 6.052 5.793 1.393
Pr 3.026 1.797 3.793
Tm 6.052 3.721 4.997
La 0.000 0.000 0.000
Pr 3.026 5.406 3.155
Pr 6.052 8.242 7.739
Tm 6.052 5.051 8.266
Pr 6.052 2.602 1.921
Pr 9.077 9.047 5.866
Tm 6.052 7.123 4.663
Pr 9.077 5.438 6.505
```

Calculated values
Space group = No. 12
Density of states at the Fermi level = 18.79 states/eV/cell
DFT formation energy = 2.3 eV/f.u.
Energy above the lowest structure with this stoichiometry = 2.21 eV/f.u.

# 7
VASP calculation (PBE) on a geometry-optimized SbPO4 structure.

Cell and atoms, written as extended XYZ:
```
12
Lattice="-0.831 -2.434 -6.385 3.577 -3.219 0.761 -3.053 -3.884 1.878" Properties=species:S:1:pos:R:3 pbc="T T T"
P 0.787 -5.666 -3.508
O 0.235 -4.689 -0.099
O 1.777 -4.943 -2.584
Sb 2.101 -3.957 -0.620
Sb -2.407 -5.580 -3.126
O 0.311 -7.048 -2.920
O -2.084 -4.594 -1.162
O -0.542 -4.847 -3.647
O 1.480 -5.815 -4.871
O -0.618 -2.489 -0.826
P -1.093 -3.870 -0.238
O -1.786 -3.722 1.125
```

Calculated values
Space group = No. 11
Uncorrected formation energy = -1890 meV/atom
Density of states at the Fermi level = 0.00 states/eV/cell
Energy above the lowest structure with this stoichiometry = 0.00 eV/f.u.

# 8
VASP calculation (PBE) on a geometry-optimized Mg2CrHIr structure.

Cell and atoms, written as extended XYZ:
```
5
Lattice="4.186 0.000 0.000 0.000 4.186 0.000 0.000 0.000 3.787" Properties=species:S:1:pos:R:3 pbc="T T T"
H 0.000 0.000 0.000
Mg 0.000 2.093 0.000
Cr 0.000 0.000 1.893
Ir 2.093 2.093 1.893
Mg 2.093 0.000 0.000
```

Calculated values
Space group = No. 123
Density of states at the Fermi level = 2.96 states/eV/cell

# 9
VASP calculation (PBE) on a geometry-optimized MgCrP2S structure.

Cell and atoms, written as extended XYZ:
```
5
Lattice="-0.246 0.457 4.238 1.224 -4.059 0.509 5.118 1.560 0.129" Properties=species:S:1:pos:R:3 pbc="T T T"
S 2.559 0.780 0.065
P 0.612 -2.029 0.254
P -0.123 0.228 2.119
Cr 0.000 0.000 0.000
Mg 3.048 -1.021 2.438
```

Calculated values
Space group = No. 123
Uncorrected formation energy = 115 meV/atom
Density of states at the Fermi level = 3.21 states/eV/cell
Energy above the lowest structure with this stoichiometry = 0.00 eV/f.u.

# 10
VASP calculation (PBE) on a geometry-optimized Na2SbAu5 structure.

Cell and atoms, written as extended XYZ:
```
8
Lattice="6.658 0.000 0.000 0.000 6.658 0.000 -3.329 -3.329 4.129" Properties=species:S:1:pos:R:3 pbc="T T T"
Au -1.426 1.427 4.089
Na 3.329 0.000 2.044
Sb 0.000 0.000 0.515
Au -1.426 -1.426 4.089
Au 1.427 -1.426 4.089
Au 1.427 1.427 4.089
Au 3.329 3.329 1.973
Na 0.000 3.329 2.044
```

Calculated values
Space group = No. 107
Uncorrected formation energy = -170 meV/atom
Density of states at the Fermi level = 1.29 states/eV/cell

# 11
VASP calculation (PBE) on a geometry-optimized Sm3HoSb4 structure.

Cell and atoms, written as extended XYZ:
```
8
Lattice="-2.390 -3.467 -4.665 3.944 -4.672 1.451 -4.268 -2.376 3.953" Properties=species:S:1:pos:R:3 pbc="T T T"
Sb -2.134 -1.188 1.976
Sm -3.329 -2.921 -0.356
Sb -1.357 -5.257 0.370
Ho 0.000 0.000 0.000
Sb -1.195 -1.733 -2.332
Sm 0.777 -4.069 -1.607
Sm -0.162 -3.524 2.702
Sb 1.972 -2.336 0.726
```

Calculated values
Space group = No. 221
Uncorrected formation energy = -1162 meV/atom
Density of states at the Fermi level = 0.44 states/eV/cell
Energy above the lowest structure with this stoichiometry = 0.00 eV/f.u.

# 12
VASP calculation (PBE) on a geometry-optimized ReRu2S structure.

Cell and atoms, written as extended XYZ:
```
8
Lattice="5.446 0.000 0.000 0.000 5.446 0.000 2.723 2.723 5.248" Properties=species:S:1:pos:R:3 pbc="T T T"
Ru 3.971 1.361 1.312
Ru 4.084 4.197 3.936
Ru 6.807 6.694 3.936
Ru 1.474 4.084 1.312
S 2.723 5.446 2.624
Re 5.446 2.723 2.624
Re 0.000 0.000 0.000
S 2.723 2.723 0.000
```

Calculated values
Space group = No. 122
Uncorrected formation energy = 523 meV/atom
Density of states at the Fermi level = 12.10 states/eV/cell

| no. | total DFT energy (no corrections) (eV/atom) |
| --- | --- |
| 1 | -5.013 |
| 2 | -5.617 |
| 3 | -6.084 |
| 4 | -6.781 |
| 5 | -2.762 |
| 6 | -4.497 |
| 7 | -6.784 |
| 8 | -5.030 |
| 9 | -5.118 |
| 10 | -3.063 |
| 11 | -5.565 |
| 12 | -8.259 |